Below is a relaxed Cs2ScOsO6 crystal, with properties calculated at the GGA-PBE level.

Its calculated density is 7.113 g cm⁻³. Its electronic total energy is -0.243 hartree per atom.

It has space group Fm-3m (No. 225), with a = 8.230 Å, b = 8.230 Å, c = 8.230 Å, α = 90.00°, β = 90.00° and γ = 90.00°. The distinct sites, in fractional coordinates, are Cs at (0.250, 0.250, 0.250), Sc at (0.000, 0.000, 0.000), Os at (0.000, 0.000, 0.500) and O at (0.000, 0.000, 0.266).